Record 1
Compound: NaFe3Rh
Source: Alexandria via LeMat-Bulk
Functional: PBE-GGA
Structure: relaxed

Results
As for the energy above the most stable polymorph in this dataset: 0.00 eV per formula unit. Its crystal system is cubic. For the formation energy, the calculation gives 0.9924 eV per atom.

abc: 4.7150 4.7150 4.7150
angles: 90.00 90.00 90.00
Fractional coordinates of all 5 atoms:
Na (0.0000, 0.0000, 0.0000)
Fe (0.0000, 0.5000, 0.5000)
Fe (0.5000, 0.0000, 0.5000)
Fe (0.5000, 0.5000, 0.0000)
Rh (0.5000, 0.5000, 0.5000)

***

Record 2
Compound: NaFeRh
Source: Alexandria via LeMat-Bulk
Functional: PBE-GGA
Structure: relaxed

Results
As for the energy above the most stable polymorph in this dataset: 0.61 eV per formula unit. Its crystal system is monoclinic. For the formation energy, the calculation gives 0.3129 eV per atom.

abc: 4.9262 4.3316 5.7477
angles: 90.00 110.07 90.00
Fractional coordinates of all 6 atoms:
Na (0.2473, 0.2500, 0.4624)
Na (0.7527, 0.7500, 0.5376)
Fe (0.3601, 0.7500, 0.9737)
Fe (0.6399, 0.2500, 0.0263)
Rh (0.1066, 0.2500, 0.9261)
Rh (0.8934, 0.7500, 0.0739)

***

Record 3
Compound: NaFeRh
Source: Alexandria via LeMat-Bulk
Functional: PBE-GGA
Structure: relaxed

Results
As for the energy above the most stable polymorph in this dataset: 0.55 eV per formula unit. Its crystal system is orthorhombic. For the formation energy, the calculation gives 0.2938 eV per atom.

abc: 10.7592 4.8955 4.3290
angles: 90.00 90.00 90.00
Fractional coordinates of all 12 atoms:
Na (0.2307, 0.2500, 0.0040)
Na (0.2693, 0.7500, 0.5040)
Na (0.7307, 0.2500, 0.4960)
Na (0.7693, 0.7500, 0.9960)
Fe (0.0000, 0.0000, 0.5000)
Fe (0.0000, 0.5000, 0.5000)
Fe (0.5000, 0.0000, 0.0000)
Fe (0.5000, 0.5000, 0.0000)
Rh (0.0387, 0.7500, 0.0001)
Rh (0.4613, 0.2500, 0.5001)
Rh (0.5387, 0.7500, 0.4999)
Rh (0.9613, 0.2500, 0.9999)

***

Record 4
Compound: NaFeRh2
Source: Alexandria via LeMat-Bulk
Functional: PBE-GGA
Structure: relaxed

Results
As for the energy above the most stable polymorph in this dataset: 0.90 eV per formula unit. Its crystal system is tetragonal. For the formation energy, the calculation gives 0.5486 eV per atom.

abc: 5.6674 5.6674 5.6674
angles: 102.88 102.88 123.64
Fractional coordinates of all 8 atoms:
Na (0.0000, 0.0000, 0.0000)
Na (0.7500, 0.2500, 0.5000)
Fe (0.2500, 0.7500, 0.5000)
Fe (0.5000, 0.5000, 0.0000)
Rh (0.1743, 0.1250, 0.5493)
Rh (0.3750, 0.8257, 0.9507)
Rh (0.5757, 0.6250, 0.4507)
Rh (0.8750, 0.4243, 0.0493)

***

Record 5
Compound: NaFeRh
Source: Alexandria via LeMat-Bulk
Functional: PBE-GGA
Structure: relaxed

Results
As for the energy above the most stable polymorph in this dataset: 0.84 eV per formula unit. Its crystal system is orthorhombic. For the formation energy, the calculation gives 0.3908 eV per atom.

abc: 2.6579 4.0800 9.7787
angles: 90.00 90.00 90.00
Fractional coordinates of all 6 atoms:
Na (0.0000, 0.0000, 0.0000)
Na (0.5000, 0.5000, 0.2800)
Fe (0.0000, 0.5000, 0.7726)
Fe (0.5000, 0.5000, 0.5706)
Rh (0.0000, 0.0000, 0.4812)
Rh (0.5000, 0.0000, 0.7217)

***

Record 6
Compound: NaFeRh
Source: Alexandria via LeMat-Bulk
Functional: PBE-GGA
Structure: relaxed

Results
As for the energy above the most stable polymorph in this dataset: 0.20 eV per formula unit. Its crystal system is triclinic. For the formation energy, the calculation gives 0.1774 eV per atom.

abc: 2.8194 3.8833 10.0718
angles: 90.05 97.64 90.19
Fractional coordinates of all 6 atoms:
Na (0.0000, 0.0000, 0.0000)
Na (0.3486, 0.5020, 0.7199)
Fe (0.1421, 0.9998, 0.2876)
Fe (0.2102, 0.5004, 0.4323)
Rh (0.6011, 0.4995, 0.2023)
Rh (0.7508, 0.0009, 0.5176)

***

Record 7
Compound: Na2FeRh
Source: Alexandria via LeMat-Bulk
Functional: PBE-GGA
Structure: relaxed

Results
Its crystal system is cubic. For the formation energy, the calculation gives 0.8631 eV per atom.

abc: 4.6743 4.6743 4.6743
angles: 60.00 60.00 60.00
Fractional coordinates of all 4 atoms:
Na (0.2500, 0.2500, 0.2500)
Na (0.7500, 0.7500, 0.7500)
Fe (0.0000, 0.0000, 0.0000)
Rh (0.5000, 0.5000, 0.5000)

***

Record 8
Compound: NaFeRh
Source: Alexandria via LeMat-Bulk
Functional: PBE-GGA
Structure: relaxed

Results
As for the energy above the most stable polymorph in this dataset: 0.63 eV per formula unit. Its crystal system is monoclinic. For the formation energy, the calculation gives 0.3200 eV per atom.

abc: 4.7348 4.7348 6.8537
angles: 104.33 104.33 45.72
Fractional coordinates of all 6 atoms:
Na (0.1645, 0.1645, 0.0983)
Na (0.8355, 0.8355, 0.9017)
Fe (0.4781, 0.4781, 0.6561)
Fe (0.5219, 0.5219, 0.3439)
Rh (0.1641, 0.1641, 0.5794)
Rh (0.8359, 0.8359, 0.4206)

***

| no. | total DFT energy (no corrections) (eV/cell) | density (g cm⁻³) |
| --- | --- | --- |
| 1 | -29.10 | 4.648 |
| 2 | -32.39 | 5.240 |
| 3 | -65.01 | 5.294 |
| 4 | -44.58 | 7.077 |
| 5 | -31.92 | 5.692 |
| 6 | -33.20 | 5.523 |
| 7 | -15.00 | 4.708 |
| 8 | -32.35 | 5.696 |